w) Crystalline ReTe2IrN at its relaxed geometry. Source: Alexandria via LeMat-Bulk, functional GGA-PBE.

Cell: 5.2775 5.2775 3.6714 Å, 90.00 90.00 90.00°
With the nearest neighbours (Å) after each atom.
Space group P4/mmm (No. 123)
Inequivalent atoms, fractional coordinates:
Re (0.0000, 0.0000, 0.0000) x1  2 N 1.84
Te (0.0000, 0.5000, 0.0000) x2  2 Re 2.64
Ir (0.5000, 0.5000, 0.5000) x1  8 Te 3.21
N (0.0000, 0.0000, 0.5000) x1  2 Re 1.84

The value obtained for the spin magnetization is 0.00 μB/f.u. Its density of states at the Fermi level is 5.12 states/eV/f.u.

***

x) Crystalline ReTe2IrN at its relaxed geometry. Source: Alexandria via LeMat-Bulk, functional GGA-PBE.

Cell: 5.3925 5.3925 3.6084 Å, 90.00 90.00 90.00°
With the nearest neighbours (Å) after each atom.
Space group P4/mmm (No. 123)
Inequivalent atoms, fractional coordinates:
Re (0.0000, 0.0000, 0.0000) x1  8 Te 3.24, 2 Re 3.61
Te (0.0000, 0.5000, 0.5000) x2  2 Ir 2.70
Ir (0.5000, 0.5000, 0.5000) x1  2 N 1.80
N (0.5000, 0.5000, 0.0000) x1  2 Ir 1.80

The value obtained for the spin magnetization is 2.28 μB/f.u. Its density of states at the Fermi level is 2.91 states/eV/f.u.

***

Which of them is the most stable? Correct choice: w).

***

w) Crystalline Ir2Rh2N at its relaxed geometry. Source: Alexandria via LeMat-Bulk, functional GGA-PBE.

Cell: 3.5131 3.5131 12.6875 Å, 90.00 90.00 90.00°
With the nearest neighbours (Å) after each atom.
Space group I4/mmm (No. 139)
Inequivalent atoms, fractional coordinates:
Ir (0.0000, 0.5000, 0.2500) x4  4 Ir 2.48, 4 Rh 2.63
Rh (0.0000, 0.0000, 0.0962) x4  1 Rh 2.44, 4 Ir 2.63
N (0.0000, 0.0000, 0.5000) x2  8 Rh 2.77

The value obtained for the spin magnetization is 0.00 μB/f.u. Its density of states at the Fermi level is 6.02 states/eV/f.u.

***

x) Crystalline Ir2Rh2N at its relaxed geometry. Source: Alexandria via LeMat-Bulk, functional GGA-PBE.

Cell: 5.3192 5.3192 4.9380 Å, 90.00 90.00 90.00°
With the nearest neighbours (Å) after each atom.
Space group P4/mbm (No. 127)
Inequivalent atoms, fractional coordinates:
Ir (0.1710, 0.3290, 0.0000) x4  5 Ir 2.57-2.79, 2 Rh 2.69
Rh (0.1864, 0.6864, 0.5000) x4  2 N 1.94
N (0.0000, 0.0000, 0.5000) x2  4 Rh 1.94

The value obtained for the spin magnetization is 0.00 μB/f.u. Its density of states at the Fermi level is 7.66 states/eV/f.u.

***

Which of them is the most stable? Correct choice: x).

***

w) Crystalline IrRhN2 at its relaxed geometry. Source: Alexandria via LeMat-Bulk, functional GGA-PBE.

Cell: 2.8718 2.8718 19.0745 Å, 90.00 90.00 120.00°
With the nearest neighbours (Å) after each atom.
Space group R-3m (No. 166, hexagonal axes)
Inequivalent atoms, fractional coordinates:
Ir (0.0000, 0.0000, 0.0000) x3  2 N 1.92
Rh (0.0000, 0.0000, 0.5000) x3  6 N 2.08
N (0.0000, 0.0000, 0.1008) x6  1 Ir 1.92, 3 Rh 2.08

The value obtained for the spin magnetization is 0.00 μB/f.u. Its density of states at the Fermi level is 2.72 states/eV/f.u.

***

x) Crystalline IrRhN2 at its relaxed geometry. Source: Alexandria via LeMat-Bulk, functional GGA-PBE.

Cell: 4.6421 4.6421 9.2709 Å, 90.00 90.00 90.00°
With the nearest neighbours (Å) after each atom.
Space group I-42d (No. 122)
Inequivalent atoms, fractional coordinates:
Ir (0.0000, 0.0000, 0.0000) x4  4 N 1.99
Rh (0.0000, 0.0000, 0.5000) x4  4 N 2.03
N (0.2411, 0.2500, 0.1250) x8  2 Ir 1.99, 2 Rh 2.03

The value obtained for the spin magnetization is 0.00 μB/f.u. Its density of states at the Fermi level is 2.69 states/eV/f.u.

***

Which of them is the most stable? Correct choice: w).

***

w) Crystalline Ir3RhN at its relaxed geometry. Source: Alexandria via LeMat-Bulk, functional GGA-PBE.

Cell: 4.0747 4.0747 4.0747 Å, 90.00 90.00 90.00°
With the nearest neighbours (Å) after each atom.
Space group Pm-3m (No. 221)
Inequivalent atoms, fractional coordinates:
Ir (0.0000, 0.0000, 0.5000) x3  2 N 2.04
Rh (0.5000, 0.5000, 0.5000) x1  12 Ir 2.88
N (0.0000, 0.0000, 0.0000) x1  6 Ir 2.04

The value obtained for the spin magnetization is 0.00 μB/f.u. Its density of states at the Fermi level is 8.48 states/eV/f.u.

***

x) Crystalline Ir3RhN at its relaxed geometry. Source: Alexandria via LeMat-Bulk, functional GGA-PBE.

Cell: 4.7466 4.7466 4.7466 Å, 90.00 90.00 90.00°
With the nearest neighbours (Å) after each atom.
Space group Pm-3m (No. 221)
Inequivalent atoms, fractional coordinates:
Ir (0.0000, 0.0000, 0.5000) x3  2 Rh 2.37
Rh (0.0000, 0.0000, 0.0000) x1  6 Ir 2.37
N (0.5000, 0.5000, 0.5000) x1  12 Ir 3.36

The value obtained for the spin magnetization is 4.52 μB/f.u. Its density of states at the Fermi level is 8.79 states/eV/f.u.

***

Which of them is the most stable? Correct choice: w).

***

w) Crystalline IrRhSe2N at its relaxed geometry. Source: Alexandria via LeMat-Bulk, functional GGA-PBE.

Cell: 5.0580 5.0580 3.6003 Å, 90.00 90.00 90.00°
With the nearest neighbours (Å) after each atom.
Space group P4/mmm (No. 123)
Inequivalent atoms, fractional coordinates:
Ir (0.0000, 0.0000, 0.0000) x1  2 N 1.80
Rh (0.5000, 0.5000, 0.5000) x1  8 Se 3.10
Se (0.0000, 0.5000, 0.0000) x2  2 Ir 2.53
N (0.0000, 0.0000, 0.5000) x1  2 Ir 1.80

The value obtained for the spin magnetization is 0.00 μB/f.u. Its density of states at the Fermi level is 3.36 states/eV/f.u.

***

x) Crystalline IrRhSe2N at its relaxed geometry. Source: Alexandria via LeMat-Bulk, functional GGA-PBE.

Cell: 4.9937 4.9937 3.5557 Å, 90.00 90.00 90.00°
With the nearest neighbours (Å) after each atom.
Space group P4/mmm (No. 123)
Inequivalent atoms, fractional coordinates:
Ir (0.0000, 0.0000, 0.0000) x1  8 Se 3.07
Rh (0.5000, 0.5000, 0.5000) x1  2 N 1.78
Se (0.0000, 0.5000, 0.5000) x2  2 Rh 2.50
N (0.5000, 0.5000, 0.0000) x1  2 Rh 1.78

The value obtained for the spin magnetization is 0.00 μB/f.u. Its density of states at the Fermi level is 3.43 states/eV/f.u.

***

Which of them is the most stable? Correct choice: w).

***

w) Crystalline IrRhSeN2 at its relaxed geometry. Source: Alexandria via LeMat-Bulk, functional GGA-PBE.

Cell: 3.6931 3.6931 6.0788 Å, 90.00 90.00 90.00°
With the nearest neighbours (Å) after each atom.
Space group P4/mmm (No. 123)
Inequivalent atoms, fractional coordinates:
Ir (0.0000, 0.0000, 0.0000) x1  4 Se 2.61
Rh (0.5000, 0.5000, 0.5000) x1  4 N 1.85
Se (0.5000, 0.5000, 0.0000) x1  4 Ir 2.61
N (0.0000, 0.5000, 0.5000) x2  2 Rh 1.85

The value obtained for the spin magnetization is 0.98 μB/f.u. Its density of states at the Fermi level is 5.06 states/eV/f.u.

***

x) Crystalline IrRhSeN2 at its relaxed geometry. Source: Alexandria via LeMat-Bulk, functional GGA-PBE.

Cell: 3.7214 3.7214 5.7796 Å, 90.00 90.00 90.00°
With the nearest neighbours (Å) after each atom.
Space group P4/mmm (No. 123)
Inequivalent atoms, fractional coordinates:
Ir (0.0000, 0.0000, 0.0000) x1  4 N 1.86
Rh (0.5000, 0.5000, 0.5000) x1  4 Se 2.63
Se (0.0000, 0.0000, 0.5000) x1  4 Rh 2.63, 2 Ir 2.89
N (0.0000, 0.5000, 0.0000) x2  2 Ir 1.86

The value obtained for the spin magnetization is 1.22 μB/f.u. Its density of states at the Fermi level is 3.23 states/eV/f.u.

***

Which of them is the most stable? Correct choice: x).